A relaxed structure of NbCl4F. Source: the Alexandria database, functional GGA-PBEsol.

Lattice parameters (Å, degrees): 8.2009 9.2986 10.0029 77.21 67.47 69.66
With the nearest neighbours (Å) after each atom.
Fractional coordinates of all 24 atoms:
Nb: 0.0124 0.2972 0.2718  2 F 2.10, 4 Cl 2.27-2.31
Nb: 0.2410 0.2363 0.8274  2 F 2.10, 4 Cl 2.27-2.31
Nb: 0.7590 0.7637 0.1726  2 F 2.10, 4 Cl 2.27-2.31
Nb: 0.9876 0.7028 0.7282  2 F 2.10, 4 Cl 2.27-2.31
Cl: 0.0402 0.7936 0.1402  1 Nb 2.31
Cl: 0.1207 0.6478 0.4936  1 Nb 2.27
Cl: 0.1552 0.0427 0.3120  1 Nb 2.27
Cl: 0.2445 0.7381 0.7445  1 Nb 2.31
Cl: 0.2676 0.3778 0.2236  1 Nb 2.31
Cl: 0.3562 0.2226 0.5836  1 Nb 2.27
Cl: 0.3691 0.9870 0.8989  1 Nb 2.27
Cl: 0.4674 0.3258 0.8349  1 Nb 2.31
Cl: 0.5326 0.6742 0.1651  1 Nb 2.31
Cl: 0.6309 0.0130 0.1011  1 Nb 2.27
Cl: 0.6438 0.7774 0.4164  1 Nb 2.27
Cl: 0.7324 0.6222 0.7764  1 Nb 2.31
Cl: 0.7555 0.2619 0.2555  1 Nb 2.31
Cl: 0.8448 0.9573 0.6880  1 Nb 2.27
Cl: 0.8793 0.3522 0.5064  1 Nb 2.27
Cl: 0.9598 0.2064 0.8598  1 Nb 2.31
F: 0.1048 0.4716 0.7962  2 Nb 2.10
F: 0.1162 0.2824 0.0463  2 Nb 2.10
F: 0.8838 0.7176 0.9537  2 Nb 2.10
F: 0.8952 0.5284 0.2038  2 Nb 2.10

Output
crystal system: triclinic
raw formation energy: -9.5 eV/f.u.

***

A relaxed structure of CaIn2Pb. Source: the Alexandria database, functional GGA-PBEsol.

Lattice parameters (Å, degrees): 10.1696 10.1696 10.1696 20.56 20.56 20.56
With the nearest neighbours (Å) after each atom.
Fractional coordinates of all 4 atoms:
Ca: 0.0000 0.0000 0.0000  6 In 3.28, 6 Ca 3.63
In: 0.2490 0.2490 0.2490  3 Pb 3.23, 3 Ca 3.28
In: 0.7510 0.7510 0.7510  3 Pb 3.23, 3 Ca 3.28
Pb: 0.5000 0.5000 0.5000  6 In 3.23

Output
crystal system: trigonal
ΔH_f (0 K): -0.14 eV/atom

***

A relaxed structure of CsIrC2. Source: the Alexandria database, functional GGA-PBEsol.

Lattice parameters (Å, degrees): 6.1553 6.1553 6.1553 60.00 60.00 60.00
With the nearest neighbours (Å) after each atom.
Fractional coordinates of all 8 atoms:
Cs: 0.1250 0.1250 0.1250  12 C 3.61, 4 Ir 3.77, 4 Cs 3.77
Cs: 0.8750 0.8750 0.8750  12 C 3.61, 4 Ir 3.77, 4 Cs 3.77
Ir: 0.3750 0.3750 0.3750  4 C 1.88
Ir: 0.6250 0.6250 0.6250  4 C 1.88
C: 0.0000 0.5000 0.5000  2 Ir 1.88
C: 0.5000 0.0000 0.5000  2 Ir 1.88
C: 0.5000 0.5000 0.0000  2 Ir 1.88
C: 0.5000 0.5000 0.5000  2 Ir 1.88

Output
crystal system: cubic
ΔH_f (0 K): 0.68 eV/atom

***

A relaxed structure of MnTl2Mo. Source: the Alexandria database, functional GGA-PBEsol.

Lattice parameters (Å, degrees): 5.1697 5.1697 5.1697 132.59 132.59 69.30
With the nearest neighbours (Å) after each atom.
Fractional coordinates of all 4 atoms:
Mn: 0.0000 0.0000 0.0000  4 Mo 2.94, 8 Tl 2.97
Tl: 0.2500 0.7500 0.5000  4 Tl 2.94, 4 Mn 2.97, 4 Mo 2.97
Tl: 0.7500 0.2500 0.5000  4 Tl 2.94, 4 Mn 2.97, 4 Mo 2.97
Mo: 0.5000 0.5000 0.0000  4 Mn 2.94, 8 Tl 2.97

Output
crystal system: tetragonal
ΔH_f (0 K): 0.76 eV/atom

***

A relaxed structure of CdCoSbH2. Source: the Alexandria database, functional GGA-PBEsol.

Lattice parameters (Å, degrees): 3.5256 3.5256 6.4732 90.00 90.00 90.00
With the nearest neighbours (Å) after each atom.
Fractional coordinates of all 5 atoms:
Cd: 0.0000 0.0000 0.0000  4 H 1.76
Co: 0.5000 0.5000 0.5000  4 Sb 2.49
Sb: 0.0000 0.0000 0.5000  4 Co 2.49
H: 0.0000 0.5000 0.0000  2 Cd 1.76
H: 0.5000 0.0000 0.0000  2 Cd 1.76

Output
crystal system: tetragonal
VASP energy: -3.423 eV per atom

***

A relaxed structure of TaCd2Br. Source: the Alexandria database, functional GGA-PBEsol.

Lattice parameters (Å, degrees): 7.4749 7.4749 7.4749 156.37 142.85 44.50
With the nearest neighbours (Å) after each atom.
Fractional coordinates of all 4 atoms:
Ta: 0.0000 0.0000 0.0000  2 Br 2.59, 2 Cd 2.87
Cd: 0.1756 0.6756 0.5000  2 Ta 2.87, 4 Cd 2.96-3.06
Cd: 0.5490 0.5490 0.0000  4 Ta 2.91, 4 Cd 2.96-3.06
Br: 0.8491 0.3491 0.5000  2 Ta 2.59

Output
crystal system: orthorhombic
raw formation energy: 0.8 eV/f.u.
relative energy among the computed polymorphs: 0.000 eV per atom

***

A relaxed structure of ScCdOs2Pb. Source: the Alexandria database, functional GGA-PBEsol.

Lattice parameters (Å, degrees): 4.8764 4.8764 5.0331 90.00 90.00 90.00
With the nearest neighbours (Å) after each atom.
Fractional coordinates of all 5 atoms:
Sc: 0.0000 0.0000 0.0000  4 Pb 3.45, 8 Os 3.50
Cd: 0.5000 0.5000 0.5000  4 Os 2.44, 2 Pb 2.52
Os: 0.0000 0.5000 0.5000  2 Cd 2.44
Os: 0.5000 0.0000 0.5000  2 Cd 2.44
Pb: 0.5000 0.5000 0.0000  2 Cd 2.52

Output
crystal system: tetragonal
ΔH_f (0 K): 2.01 eV/atom

***

A relaxed structure of Ni2OsRh. Source: the Alexandria database, functional GGA-PBEsol.

Lattice parameters (Å, degrees): 2.6060 2.6060 7.1221 90.00 90.00 90.00
With the nearest neighbours (Å) after each atom.
Fractional coordinates of all 4 atoms:
Ni: 0.0000 0.0000 0.2475  4 Os 2.55, 4 Rh 2.57, 4 Ni 2.61
Ni: 0.0000 0.0000 0.7525  4 Os 2.55, 4 Rh 2.57, 4 Ni 2.61
Os: 0.5000 0.5000 0.0000  8 Ni 2.55, 4 Os 2.61
Rh: 0.5000 0.5000 0.5000  8 Ni 2.57, 4 Rh 2.61

Output
crystal system: tetragonal
ΔH_f (0 K): 0.11 eV/atom

***

A relaxed structure of Li3P. Source: the Alexandria database, functional GGA-PBEsol.

Lattice parameters (Å, degrees): 5.1418 5.1418 4.2132 90.00 90.00 88.98
With the nearest neighbours (Å) after each atom.
Fractional coordinates of all 8 atoms:
Li: 0.0835 0.9165 0.7500  4 Li 2.43-2.49, 3 P 2.47-2.50
Li: 0.2034 0.4444 0.7500  4 Li 2.49-2.73, 3 P 2.59-2.61
Li: 0.4444 0.2034 0.2500  4 Li 2.49-2.73, 3 P 2.59-2.61
Li: 0.5556 0.7966 0.7500  4 Li 2.49-2.73, 3 P 2.59-2.61
Li: 0.7966 0.5556 0.2500  4 Li 2.49-2.73, 3 P 2.59-2.61
Li: 0.9165 0.0835 0.2500  4 Li 2.43-2.49, 3 P 2.47-2.50
P: 0.2631 0.7369 0.2500  9 Li 2.47-2.61
P: 0.7369 0.2631 0.7500  9 Li 2.47-2.61

Output
crystal system: orthorhombic
ΔH_f (0 K): -0.63 eV/atom

***

A relaxed structure of La2TcCl. Source: the Alexandria database, functional GGA-PBEsol.

Lattice parameters (Å, degrees): 3.4726 3.4726 8.1176 90.00 90.00 101.57
With the nearest neighbours (Å) after each atom.
Fractional coordinates of all 4 atoms:
La: 0.0000 0.0000 0.2169  2 Tc 2.81
La: 0.0000 0.0000 0.7831  2 Tc 2.81
Tc: 0.5000 0.5000 0.0000  4 La 2.81
Cl: 0.5000 0.5000 0.5000  8 La 3.18-3.54, 4 Cl 3.47

Output
crystal system: orthorhombic
raw formation energy: -2.9 eV/f.u.
relative energy among the computed polymorphs: 0.016 eV per atom

***

Number 1: DOS at the Fermi energy 0.000 states/eV per cell. Number 2: DOS at the Fermi energy 2.034 states/eV per cell. Number 3: DOS at the Fermi energy 3.781 states/eV per cell. Number 4: DOS at the Fermi energy 2.497 states/eV per cell. Number 5: DOS at the Fermi energy 3.671 states/eV per cell. Number 6: DOS at the Fermi energy 1.751 states/eV per cell. Number 7: DOS at the Fermi energy 7.779 states/eV per cell. Number 8: DOS at the Fermi energy 4.576 states/eV per cell. Number 9: DOS at the Fermi energy 0.037 states/eV per cell. Number 10: DOS at the Fermi energy 1.575 states/eV per cell.